1.
Material: PaTiGa2
Method: DFT, PBE-GGA
State: optimized geometry

Output
- DOS at the Fermi energy: 1.09 states/eV per atom
- Total DFT energy (no corrections): -6.156 eV/atom
- ΔH_f (0 K): -0.295 eV per atom

Cell: 7.725 4.001 10.387 Å, 90.00 90.00 90.00°
Space group Pnma (No. 62)
Symmetry-distinct sites (fractional):
Pa1 0.155 0.250 0.151 [4 per cell]
Ti1 0.020 0.750 0.403 [4 per cell]
Ga1 0.141 0.250 0.820 [4 per cell]
Ga2 0.240 0.750 0.950 [4 per cell]

***

2.
Material: Pa2Ti3Ga4
Method: DFT, PBE-GGA
State: optimized geometry

Output
- DOS at the Fermi energy: 1.39 states/eV per atom
- Total DFT energy (no corrections): -6.331 eV/atom
- ΔH_f (0 K): -0.244 eV per atom

Cell: 5.948 14.974 7.890 Å, 90.00 90.00 90.00°
Space group Cmce (No. 64)
Symmetry-distinct sites (fractional):
Pa1 0.000 0.116 0.090 [8 per cell]
Ti1 0.000 0.000 0.500 [4 per cell]
Ti2 0.250 0.213 0.750 [8 per cell]
Ga1 0.000 0.181 0.453 [8 per cell]
Ga2 0.250 0.039 0.750 [8 per cell]

***

3.
Material: PaTiGa2
Method: DFT, PBE-GGA
State: optimized geometry

Output
- DOS at the Fermi energy: 1.07 states/eV per atom
- Total DFT energy (no corrections): -6.177 eV/atom
- ΔH_f (0 K): -0.316 eV per atom

Cell: 3.043 3.043 8.024 Å, 90.00 90.00 90.00°
Space group P4/mmm (No. 123)
Symmetry-distinct sites (fractional):
Pa1 0.000 0.000 0.000 [1 per cell]
Ti1 0.000 0.000 0.500 [1 per cell]
Ga1 0.500 0.500 0.279 [2 per cell]

***

4.
Material: PaTiGa2
Method: DFT, PBE-GGA
State: optimized geometry

Output
- DOS at the Fermi energy: 1.10 states/eV per atom
- Total DFT energy (no corrections): -6.062 eV/atom
- ΔH_f (0 K): -0.200 eV per atom

Cell: 4.226 4.226 4.343 Å, 90.00 90.00 90.00°
Space group P4/mmm (No. 123)
Symmetry-distinct sites (fractional):
Pa1 0.000 0.000 0.000 [1 per cell]
Ti1 0.500 0.500 0.000 [1 per cell]
Ga1 0.000 0.500 0.500 [2 per cell]

***

5.
Material: PaTi5Ga3
Method: DFT, PBE-GGA
State: optimized geometry

Output
- DOS at the Fermi energy: 1.21 states/eV per atom
- Total DFT energy (no corrections): -6.781 eV/atom
- ΔH_f (0 K): -0.331 eV per atom

Cell: 7.9577 7.9577 5.6934 Å, 90.00 90.00 120.00°
Space group P6_3/mcm (No. 193)
Symmetry-distinct sites (fractional):
Pa1 0.0000 0.0000 0.0000 [2 per cell]
Ti1 0.0000 0.3272 0.2500 [6 per cell]
Ti2 0.3333 0.6667 0.0000 [4 per cell]
Ga1 0.0000 0.3490 0.7500 [6 per cell]

***

6.
Material: Pa2TiGa
Method: DFT, PBE-GGA
State: optimized geometry

Output
- DOS at the Fermi energy: 1.91 states/eV per atom
- Total DFT energy (no corrections): -7.438 eV/atom
- ΔH_f (0 K): 0.040 eV per atom

Cell: 3.770 3.770 6.300 Å, 90.00 90.00 90.00°
Space group P4/mmm (No. 123)
Symmetry-distinct sites (fractional):
Pa1 0.000 0.000 0.226 [2 per cell]
Ti1 0.500 0.500 0.500 [1 per cell]
Ga1 0.500 0.500 0.000 [1 per cell]

***

7.
Material: PaTi2Ga
Method: DFT, PBE-GGA
State: optimized geometry

Output
- DOS at the Fermi energy: 1.69 states/eV per atom
- Total DFT energy (no corrections): -7.206 eV/atom
- ΔH_f (0 K): -0.128 eV per atom

Cell: 6.618 6.618 6.618 Å, 90.00 90.00 90.00°
Space group Fm-3m (No. 225)
Symmetry-distinct sites (fractional):
Pa1 0.000 0.000 0.000 [4 per cell]
Ti1 0.250 0.250 0.250 [8 per cell]
Ga1 0.000 0.000 0.500 [4 per cell]

***

8.
Material: PaTi2Ga4
Method: DFT, PBE-GGA
State: optimized geometry

Output
- DOS at the Fermi energy: 1.14 states/eV per atom
- Total DFT energy (no corrections): -5.681 eV/atom
- ΔH_f (0 K): -0.339 eV per atom

Cell: 3.042 4.128 20.009 Å, 90.00 90.00 90.00°
Space group Immm (No. 71)
Symmetry-distinct sites (fractional):
Pa1 0.000 0.000 0.000 [2 per cell]
Ti1 0.000 0.500 0.208 [4 per cell]
Ga1 0.000 0.000 0.417 [4 per cell]
Ga2 0.000 0.500 0.342 [4 per cell]

***

9.
Material: PaTiGa2
Method: DFT, PBE-GGA
State: optimized geometry

Output
- DOS at the Fermi energy: 1.84 states/eV per atom
- Total DFT energy (no corrections): -6.089 eV/atom
- ΔH_f (0 K): -0.228 eV per atom

Cell: 6.803 6.803 6.803 Å, 90.00 90.00 90.00°
Space group Fm-3m (No. 225)
Symmetry-distinct sites (fractional):
Pa1 0.000 0.000 0.000 [4 per cell]
Ti1 0.000 0.000 0.500 [4 per cell]
Ga1 0.250 0.250 0.250 [8 per cell]

***

10.
Material: PaTi2Ga
Method: DFT, PBE-GGA
State: optimized geometry

Output
- DOS at the Fermi energy: 0.95 states/eV per atom
- Total DFT energy (no corrections): -7.181 eV/atom
- ΔH_f (0 K): -0.103 eV per atom

Cell: 5.288 3.056 9.510 Å, 90.00 100.60 90.00°
Space group Cm (No. 8)
Symmetry-distinct sites (fractional):
Pa1 0.000 0.000 0.000 [2 per cell]
Ti1 0.078 0.500 0.732 [2 per cell]
Ti2 0.256 0.500 0.268 [2 per cell]
Ga1 0.166 0.000 0.499 [2 per cell]

***

11.
Material: Pa2TiGa
Method: DFT, PBE-GGA
State: optimized geometry

Output
- DOS at the Fermi energy: 2.00 states/eV per atom
- Total DFT energy (no corrections): -7.367 eV/atom
- ΔH_f (0 K): 0.111 eV per atom

Cell: 7.058 7.058 7.058 Å, 90.00 90.00 90.00°
Space group Fm-3m (No. 225)
Symmetry-distinct sites (fractional):
Pa1 0.250 0.250 0.250 [8 per cell]
Ti1 0.000 0.000 0.000 [4 per cell]
Ga1 0.000 0.000 0.500 [4 per cell]

***

12.
Material: PaTi4Ga5
Method: DFT, PBE-GGA
State: optimized geometry

Output
- DOS at the Fermi energy: 1.08 states/eV per atom
- Total DFT energy (no corrections): -5.947 eV/atom
- ΔH_f (0 K): -0.326 eV per atom

Cell: 3.387 3.387 14.965 Å, 90.00 90.00 90.00°
Space group P4/mmm (No. 123)
Symmetry-distinct sites (fractional):
Pa1 0.000 0.000 0.000 [1 per cell]
Ti1 0.000 0.000 0.224 [2 per cell]
Ti2 0.000 0.000 0.406 [2 per cell]
Ga1 0.500 0.500 0.131 [2 per cell]
Ga2 0.500 0.500 0.315 [2 per cell]
Ga3 0.500 0.500 0.500 [1 per cell]

***

13.
Material: Pa2TiGa
Method: DFT, PBE-GGA
State: optimized geometry

Output
- DOS at the Fermi energy: 1.41 states/eV per atom
- Total DFT energy (no corrections): -7.656 eV/atom
- ΔH_f (0 K): -0.178 eV per atom

Cell: 4.270 4.270 4.577 Å, 90.00 90.00 90.00°
Space group P4/mmm (No. 123)
Symmetry-distinct sites (fractional):
Pa1 0.000 0.500 0.000 [2 per cell]
Ti1 0.000 0.000 0.500 [1 per cell]
Ga1 0.500 0.500 0.500 [1 per cell]

***

14.
Material: PaTi2Ga
Method: DFT, PBE-GGA
State: optimized geometry

Output
- DOS at the Fermi energy: 1.25 states/eV per atom
- Total DFT energy (no corrections): -6.999 eV/atom
- ΔH_f (0 K): 0.079 eV per atom

Cell: 2.9635 2.9635 29.7929 Å, 90.00 90.00 120.00°
Space group R-3m (No. 166, hexagonal axes)
Symmetry-distinct sites (fractional):
Pa1 0.0000 0.0000 0.0000 [3 per cell]
Ti1 0.0000 0.0000 0.0931 [6 per cell]
Ga1 0.0000 0.0000 0.5000 [3 per cell]

***

15.
Material: PaTiGa3
Method: DFT, PBE-GGA
State: optimized geometry

Output
- DOS at the Fermi energy: 0.97 states/eV per atom
- Total DFT energy (no corrections): -5.597 eV/atom
- ΔH_f (0 K): -0.303 eV per atom

Cell: 3.928 24.399 4.030 Å, 90.00 90.00 90.00°
Space group Cmcm (No. 63)
Symmetry-distinct sites (fractional):
Pa1 0.000 0.077 0.250 [4 per cell]
Ti1 0.000 0.204 0.750 [4 per cell]
Ga1 0.000 0.312 0.750 [4 per cell]
Ga2 0.000 0.373 0.250 [4 per cell]
Ga3 0.000 0.474 0.250 [4 per cell]

***

16.
Material: PaTiGa2
Method: DFT, PBE-GGA
State: optimized geometry

Output
- DOS at the Fermi energy: 1.11 states/eV per atom
- Total DFT energy (no corrections): -6.089 eV/atom
- ΔH_f (0 K): -0.228 eV per atom

Cell: 3.0538 3.0538 28.4670 Å, 90.00 90.00 120.00°
Space group R-3m (No. 166, hexagonal axes)
Symmetry-distinct sites (fractional):
Pa1 0.0000 0.0000 0.0000 [3 per cell]
Ti1 0.0000 0.0000 0.5000 [3 per cell]
Ga1 0.0000 0.0000 0.2423 [6 per cell]

***

17.
Material: PaTi2Ga
Method: DFT, PBE-GGA
State: optimized geometry

Output
- DOS at the Fermi energy: 1.13 states/eV per atom
- Total DFT energy (no corrections): -7.296 eV/atom
- ΔH_f (0 K): -0.217 eV per atom

Cell: 4.472 4.472 3.638 Å, 90.00 90.00 90.00°
Space group P4/mmm (No. 123)
Symmetry-distinct sites (fractional):
Pa1 0.000 0.000 0.000 [1 per cell]
Ti1 0.000 0.500 0.500 [2 per cell]
Ga1 0.500 0.500 0.000 [1 per cell]

***

18.
Material: UPaTiGa
Method: DFT, PBE-GGA
State: optimized geometry

Output
- DOS at the Fermi energy: 2.92 states/eV per atom
- Total DFT energy (no corrections): -7.827 eV/atom
- ΔH_f (0 K): 0.100 eV per atom

Cell: 6.832 6.832 6.832 Å, 90.00 90.00 90.00°
Space group F-43m (No. 216)
Symmetry-distinct sites (fractional):
U1 0.000 0.000 0.000 [4 per cell]
Pa1 0.250 0.250 0.750 [4 per cell]
Ti1 0.250 0.250 0.250 [4 per cell]
Ga1 0.000 0.000 0.500 [4 per cell]

***

19.
Material: Pa2TlGa9
Method: DFT, PBE-GGA
State: optimized geometry

Output
- DOS at the Fermi energy: 0.88 states/eV per atom
- Total DFT energy (no corrections): -4.215 eV/atom
- ΔH_f (0 K): -0.165 eV per atom

Cell: 4.293 4.293 13.453 Å, 90.00 90.00 90.00°
Space group P4/mmm (No. 123)
Symmetry-distinct sites (fractional):
Pa1 0.000 0.000 0.159 [2 per cell]
Tl1 0.000 0.000 0.500 [1 per cell]
Ga1 0.000 0.500 0.000 [2 per cell]
Ga2 0.000 0.500 0.321 [4 per cell]
Ga3 0.500 0.500 0.154 [2 per cell]
Ga4 0.500 0.500 0.500 [1 per cell]

***

20.
Material: YPaTlGa
Method: DFT, PBE-GGA
State: optimized geometry

Output
- DOS at the Fermi energy: 2.11 states/eV per atom
- Total DFT energy (no corrections): -5.418 eV/atom
- ΔH_f (0 K): -0.080 eV per atom

Cell: 7.407 7.407 7.407 Å, 90.00 90.00 90.00°
Space group F-43m (No. 216)
Symmetry-distinct sites (fractional):
Y1 0.000 0.000 0.000 [4 per cell]
Pa1 0.000 0.000 0.500 [4 per cell]
Tl1 0.250 0.250 0.750 [4 per cell]
Ga1 0.250 0.250 0.250 [4 per cell]

***

21.
Material: Tm2PaGa6
Method: DFT, PBE-GGA
State: optimized geometry

Output
- DOS at the Fermi energy: 1.00 states/eV per atom
- Total DFT energy (no corrections): -4.368 eV/atom
- ΔH_f (0 K): -0.301 eV per atom

Cell: 4.190 6.968 13.317 Å, 90.00 90.00 90.00°
Space group Immm (No. 71)
Symmetry-distinct sites (fractional):
Tm1 0.000 0.000 0.125 [4 per cell]
Pa1 0.000 0.500 0.000 [2 per cell]
Ga1 0.000 0.191 0.317 [8 per cell]
Ga2 0.000 0.311 0.500 [4 per cell]

***

22.
Material: TmPa2Ga6
Method: DFT, PBE-GGA
State: optimized geometry

Output
- DOS at the Fermi energy: 1.01 states/eV per atom
- Total DFT energy (no corrections): -5.025 eV/atom
- ΔH_f (0 K): -0.400 eV per atom

Cell: 7.8310 7.8310 3.3906 Å, 90.00 90.00 120.00°
Space group P6/mmm (No. 191)
Symmetry-distinct sites (fractional):
Tm1 0.0000 0.0000 0.0000 [1 per cell]
Pa1 0.3333 0.6667 0.0000 [2 per cell]
Ga1 0.0000 0.3307 0.5000 [6 per cell]

***

23.
Material: TmPaGa4
Method: DFT, PBE-GGA
State: optimized geometry

Output
- DOS at the Fermi energy: 0.58 states/eV per atom
- Total DFT energy (no corrections): -4.798 eV/atom
- ΔH_f (0 K): -0.452 eV per atom

Cell: 4.127 4.127 14.540 Å, 90.00 90.00 90.00°
Space group I-4m2 (No. 119)
Symmetry-distinct sites (fractional):
Tm1 0.000 0.000 0.000 [2 per cell]
Pa1 0.000 0.500 0.250 [2 per cell]
Ga1 0.000 0.000 0.417 [4 per cell]
Ga2 0.000 0.500 0.667 [4 per cell]

***

24.
Material: Tm4PaGa15
Method: DFT, PBE-GGA
State: optimized geometry

Output
- DOS at the Fermi energy: 0.40 states/eV per atom
- Total DFT energy (no corrections): -4.133 eV/atom
- ΔH_f (0 K): -0.494 eV per atom

Cell: 4.231 4.231 21.389 Å, 90.00 90.00 90.00°
Space group P4/mmm (No. 123)
Symmetry-distinct sites (fractional):
Tm1 0.000 0.000 0.100 [2 per cell]
Tm2 0.000 0.000 0.299 [2 per cell]
Pa1 0.000 0.000 0.500 [1 per cell]
Ga1 0.000 0.500 0.000 [2 per cell]
Ga2 0.000 0.500 0.199 [4 per cell]
Ga3 0.000 0.500 0.398 [4 per cell]
Ga4 0.500 0.500 0.099 [2 per cell]
Ga5 0.500 0.500 0.299 [2 per cell]
Ga6 0.500 0.500 0.500 [1 per cell]

***

25.
Material: Tm2PaGa9
Method: DFT, PBE-GGA
State: optimized geometry

Output
- DOS at the Fermi energy: 0.55 states/eV per atom
- Total DFT energy (no corrections): -4.281 eV/atom
- ΔH_f (0 K): -0.475 eV per atom

Cell: 4.255 4.255 12.757 Å, 90.00 90.00 90.00°
Space group P4/mmm (No. 123)
Symmetry-distinct sites (fractional):
Tm1 0.000 0.000 0.165 [2 per cell]
Pa1 0.000 0.000 0.500 [1 per cell]
Ga1 0.000 0.500 0.000 [2 per cell]
Ga2 0.000 0.500 0.331 [4 per cell]
Ga3 0.500 0.500 0.166 [2 per cell]
Ga4 0.500 0.500 0.500 [1 per cell]